DFT (GGA-PBE) results for a relaxed LiLa2ThTe4 crystal.

## Properties
Its symmetry is P2/m, No. 10. The calculation puts the calculated density at 6.65 g cm⁻³. The formation energy from raw total energies comes out at -10.7 eV/f.u.

abc: 7.7059 4.4813 7.8619
angles: 90.00 109.23 90.00
Fractional positions:
Li: 0.0000 0.0000 0.0000
La: 0.5000 0.0000 0.5000
La: 0.5000 0.5000 0.0000
Th: 0.0000 0.5000 0.5000
Te: 0.2319 0.5000 0.2369
Te: 0.2361 0.0000 0.7569
Te: 0.7639 0.0000 0.2431
Te: 0.7681 0.5000 0.7631

---

DFT (GGA-PBE) results for a relaxed LiLa2ThTe5 crystal.

## Properties
Its symmetry is Cmc2_1, No. 36. The calculation puts the calculated density at 6.68 g cm⁻³. The formation energy from raw total energies comes out at -12.1 eV/f.u.

abc: 9.7863 9.7863 13.4530
angles: 90.00 90.00 153.54
Fractional positions:
Li: 0.0538 0.9462 0.5000
Li: 0.9462 0.0538 0.0000
La: 0.3742 0.6258 0.3495
La: 0.3918 0.6082 0.7318
La: 0.6082 0.3918 0.2318
La: 0.6258 0.3742 0.8495
Th: 0.3018 0.6982 0.0549
Th: 0.6982 0.3018 0.5549
Te: 0.0036 0.9964 0.8199
Te: 0.1365 0.8635 0.0460
Te: 0.1859 0.8141 0.3896
Te: 0.2128 0.7872 0.7193
Te: 0.4551 0.5449 0.1084
Te: 0.5449 0.4551 0.6084
Te: 0.7872 0.2128 0.2193
Te: 0.8141 0.1859 0.8896
Te: 0.8635 0.1365 0.5460
Te: 0.9964 0.0036 0.3199

---

DFT (GGA-PBE) results for a relaxed LiLa4Th3Te8 crystal.

## Properties
Its symmetry is R-3m, No. 166. The calculation puts the calculated density at 7.31 g cm⁻³. The formation energy from raw total energies comes out at -21.1 eV/f.u.

abc: 9.0063 9.0063 9.0063
angles: 60.08 60.08 60.08
Fractional positions:
Li: 0.0000 0.0000 0.0000
La: 0.0000 0.0000 0.5000
La: 0.0000 0.5000 0.0000
La: 0.5000 0.0000 0.0000
La: 0.5000 0.5000 0.5000
Th: 0.0000 0.5000 0.5000
Th: 0.5000 0.0000 0.5000
Th: 0.5000 0.5000 0.0000
Te: 0.2397 0.2397 0.7567
Te: 0.2397 0.7567 0.2397
Te: 0.2433 0.7603 0.7603
Te: 0.2512 0.2512 0.2512
Te: 0.7488 0.7488 0.7488
Te: 0.7567 0.2397 0.2397
Te: 0.7603 0.2433 0.7603
Te: 0.7603 0.7603 0.2433

---

DFT (GGA-PBE) results for a relaxed LiLaTh2Te4 crystal.

## Properties
Its symmetry is P2/m, No. 10. The calculation puts the calculated density at 7.44 g cm⁻³. The formation energy from raw total energies comes out at -9.5 eV/f.u.

abc: 7.4466 4.3054 8.1753
angles: 90.00 107.46 90.00
Fractional positions:
Li: 0.0000 0.0000 0.0000
La: 0.5000 0.5000 0.0000
Th: 0.0000 0.5000 0.5000
Th: 0.5000 0.0000 0.5000
Te: 0.2348 0.5000 0.2385
Te: 0.2376 0.0000 0.7568
Te: 0.7624 0.0000 0.2432
Te: 0.7652 0.5000 0.7615

---

DFT (GGA-PBE) results for a relaxed LiLa3Th3Te8 crystal.

## Properties
Its symmetry is R-3m, No. 166. The calculation puts the calculated density at 6.89 g cm⁻³. The formation energy from raw total energies comes out at -19.5 eV/f.u.

abc: 9.0519 9.0519 9.0519
angles: 59.27 59.27 59.27
Fractional positions:
Li: 0.0000 0.0000 0.0000
La: 0.0000 0.0000 0.5000
La: 0.0000 0.5000 0.0000
La: 0.5000 0.0000 0.0000
Th: 0.0000 0.5000 0.5000
Th: 0.5000 0.0000 0.5000
Th: 0.5000 0.5000 0.0000
Te: 0.2463 0.2463 0.7491
Te: 0.2463 0.7491 0.2463
Te: 0.2511 0.2511 0.2511
Te: 0.2509 0.7537 0.7537
Te: 0.7491 0.2463 0.2463
Te: 0.7489 0.7489 0.7489
Te: 0.7537 0.2509 0.7537
Te: 0.7537 0.7537 0.2509

---

DFT (GGA-PBE) results for a relaxed LiLaThTe3 crystal.

## Properties
Its symmetry is P2_1/m, No. 11. The calculation puts the calculated density at 6.78 g cm⁻³. The formation energy from raw total energies comes out at -7.5 eV/f.u.

abc: 9.4045 4.2583 9.6930
angles: 90.00 106.39 90.00
Fractional positions:
Li: 0.0846 0.2500 0.0929
Li: 0.9154 0.7500 0.9071
La: 0.1856 0.2500 0.7361
La: 0.8144 0.7500 0.2639
Th: 0.3552 0.7500 0.3647
Th: 0.6448 0.2500 0.6353
Te: 0.0988 0.2500 0.3789
Te: 0.2210 0.7500 0.0118
Te: 0.4293 0.7500 0.7096
Te: 0.5707 0.2500 0.2904
Te: 0.7790 0.2500 0.9882
Te: 0.9012 0.7500 0.6211

---

no.,raw total energy (eV per atom)
1,-5.309
2,-5.226
3,-5.634
4,-5.470
5,-5.574
6,-5.192